[1]
# CrNi2Sn2

CrNi2Sn2 after structural relaxation (PBE, Alexandria).

The space-group type is No. 139. Its crystal system is tetragonal. The value obtained for the theoretical density is 7.68 g/cm3. As for the energy of formation: 21 kJ/mol of atoms. The value obtained for the density of states at the Fermi level is 5.645 states/eV/cell.

Lattice parameters (Å, degrees): 3.4246 3.4246 7.8793 77.45 77.45 90.00
Closest atoms and distances in Å follow each position.
Fractional coordinates of all 5 atoms:
Ni  0.7500  0.2500  0.5000  4 Ni 2.42, 4 Sn 2.64
Ni  0.2500  0.7500  0.5000  4 Ni 2.42, 4 Sn 2.64
Sn  0.3838  0.3838  0.2324  4 Ni 2.64
Sn  0.6162  0.6162  0.7676  4 Ni 2.64
Cr  0.0000  0.0000  0.0000  8 Sn 2.98



[2]
# CrNi6Sn

CrNi6Sn after structural relaxation (PBE, Alexandria).

The space-group type is No. 65. Its crystal system is orthorhombic. The value obtained for the theoretical density is 8.97 g/cm3. As for the energy of formation: -7 kJ/mol of atoms. The value obtained for the density of states at the Fermi level is 38.706 states/eV/cell.

Lattice parameters (Å, degrees): 6.3063 6.3063 10.3385 90.00 90.00 109.64
Closest atoms and distances in Å follow each position.
Fractional coordinates of all 32 atoms:
Cr  0.7499  0.2501  0.5000  12 Ni 2.48-2.58
Cr  0.2501  0.7499  0.5000  12 Ni 2.48-2.58
Cr  0.0000  0.0000  0.7443  12 Ni 2.52-2.64
Cr  0.0000  0.0000  0.2557  12 Ni 2.52-2.64
Ni  0.7556  0.2444  0.7400  8 Ni 2.47-2.68, 2 Cr 2.48-2.52, 2 Sn 2.64-2.69
Ni  0.1189  0.3638  0.8689  1 Cr 2.52, 8 Ni 2.52-2.71, 3 Sn 2.59-2.65
Ni  0.8811  0.6362  0.8689  1 Cr 2.52, 8 Ni 2.52-2.71, 3 Sn 2.59-2.65
Ni  0.2444  0.7556  0.7400  8 Ni 2.47-2.68, 2 Cr 2.48-2.52, 2 Sn 2.64-2.69
Ni  0.6362  0.8811  0.8689  1 Cr 2.52, 8 Ni 2.52-2.71, 3 Sn 2.59-2.65
Ni  0.3638  0.1189  0.8689  1 Cr 2.52, 8 Ni 2.52-2.71, 3 Sn 2.59-2.65
Ni  0.5000  0.5000  0.5000  2 Sn 2.54, 2 Cr 2.58, 8 Ni 2.60
Ni  0.8844  0.6285  0.6196  8 Ni 2.47-2.64, 3 Cr 2.50-2.57, 1 Sn 2.63
Ni  0.6285  0.8844  0.6196  8 Ni 2.47-2.64, 3 Cr 2.50-2.57, 1 Sn 2.63
Ni  0.7556  0.2444  0.2600  8 Ni 2.47-2.68, 2 Cr 2.48-2.52, 2 Sn 2.64-2.69
Ni  0.1156  0.3715  0.3804  8 Ni 2.47-2.64, 3 Cr 2.50-2.57, 1 Sn 2.63
Ni  0.8844  0.6285  0.3804  8 Ni 2.47-2.64, 3 Cr 2.50-2.57, 1 Sn 2.63
Ni  0.2444  0.7556  0.2600  8 Ni 2.47-2.68, 2 Cr 2.48-2.52, 2 Sn 2.64-2.69
Ni  0.6285  0.8844  0.3804  8 Ni 2.47-2.64, 3 Cr 2.50-2.57, 1 Sn 2.63
Ni  0.3715  0.1156  0.3804  8 Ni 2.47-2.64, 3 Cr 2.50-2.57, 1 Sn 2.63
Ni  0.5000  0.5000  0.0000  4 Sn 2.55-2.63, 8 Ni 2.64
Ni  0.8811  0.6362  0.1311  1 Cr 2.52, 8 Ni 2.52-2.71, 3 Sn 2.59-2.65
Ni  0.6362  0.8811  0.1311  1 Cr 2.52, 8 Ni 2.52-2.71, 3 Sn 2.59-2.65
Ni  0.0000  0.0000  0.5000  4 Cr 2.53-2.58, 8 Ni 2.53
Ni  0.3715  0.1156  0.6196  8 Ni 2.47-2.64, 3 Cr 2.50-2.57, 1 Sn 2.63
Ni  0.1156  0.3715  0.6196  8 Ni 2.47-2.64, 3 Cr 2.50-2.57, 1 Sn 2.63
Ni  0.0000  0.0000  0.0000  8 Ni 2.55, 2 Sn 2.60, 2 Cr 2.64
Ni  0.3638  0.1189  0.1311  1 Cr 2.52, 8 Ni 2.52-2.71, 3 Sn 2.59-2.65
Ni  0.1189  0.3638  0.1311  1 Cr 2.52, 8 Ni 2.52-2.71, 3 Sn 2.59-2.65
Sn  0.7476  0.2524  0.0000  12 Ni 2.55-2.69
Sn  0.2524  0.7476  0.0000  12 Ni 2.55-2.69
Sn  0.5000  0.5000  0.7461  12 Ni 2.54-2.64
Sn  0.5000  0.5000  0.2539  12 Ni 2.54-2.64